DFT (GGA-PBE) results for Ga2NCl after structural relaxation.

Structure (CIF):
```
data_Ga2NCl
_symmetry_space_group_name_H-M 'F m -3 m'
_symmetry_Int_Tables_number 225
_symmetry_space_group_name_Hall '-F 4 2 3'
_cell_length_a 6.3291
_cell_length_b 6.3291
_cell_length_c 6.3291
_cell_angle_alpha 90.00
_cell_angle_beta 90.00
_cell_angle_gamma 90.00
loop_
_atom_site_label
_atom_site_fract_x
_atom_site_fract_y
_atom_site_fract_z
Ga1 0.2500 0.2500 0.2500
N1 0.0000 0.0000 0.0000
Cl1 0.0000 0.0000 0.5000
```

Properties
Excess energy over the best structure of this formula in the dataset = 704 meV per atom
Energy = -3.321 eV/atom



DFT (GGA-PBE) results for NdSc2N after structural relaxation.

Structure (CIF):
```
data_NdSc2N
_symmetry_space_group_name_H-M 'R -3 m'
_symmetry_Int_Tables_number 166
_symmetry_space_group_name_Hall '-R 3 2"'
_cell_length_a 3.2549
_cell_length_b 3.2549
_cell_length_c 27.2173
_cell_angle_alpha 90.00
_cell_angle_beta 90.00
_cell_angle_gamma 120.00
loop_
_atom_site_label
_atom_site_fract_x
_atom_site_fract_y
_atom_site_fract_z
Nd1 0.0000 0.0000 0.0000
Sc1 0.0000 0.0000 0.1225
N1 0.0000 0.0000 0.5000
```

Properties
Excess energy over the best structure of this formula in the dataset = 0 meV per atom
Energy = -7.247 eV/atom



Calculated density values (in g/cm³) by entry order: 4.95; 4.95.
Energy relative to the elements, uncorrected values (in eV per atom) by entry order: 0.74; -0.81.